[1]
Compound: Sr3Ag2Pb3
Source: Alexandria via LeMat-Bulk
Functional: PBE
Structure: relaxed

**Magnetic moment**: 0.00 Bohr magnetons per cell
**E_form**: -0.427 eV per atom
**Calculated total energy**: -101.2 eV/cell

a = 4.959 Å, b = 11.968 Å, c = 16.878 Å
α = 90.00°, β = 90.00°, γ = 90.00°
Space group Cmcm (No. 63)
Symmetry-distinct sites (fractional):
Sr  0.000  0.089  0.109 (multiplicity 8)
Sr  0.000  0.361  0.250 (multiplicity 4)
Ag  0.000  0.207  0.606 (multiplicity 8)
Pb  0.000  0.348  0.750 (multiplicity 4)
Pb  0.000  0.378  0.037 (multiplicity 8)

[2]
Compound: Sr6Ag5Pb
Source: Alexandria via LeMat-Bulk
Functional: PBE
Structure: relaxed

**Magnetic moment**: 0.00 Bohr magnetons per cell
**E_form**: -0.319 eV per atom
**Calculated total energy**: -63.8 eV/cell

a = 17.598 Å, b = 8.063 Å, c = 5.542 Å
α = 90.00°, β = 108.11°, γ = 90.00°
Space group C2/m (No. 12)
Symmetry-distinct sites (fractional):
Sr  0.000  0.246  0.000 (multiplicity 4)
Sr  0.167  0.249  0.667 (multiplicity 8)
Ag  0.000  0.000  0.500 (multiplicity 2)
Ag  0.166  0.500  0.165 (multiplicity 4)
Ag  0.168  0.000  0.167 (multiplicity 4)
Pb  0.000  0.500  0.500 (multiplicity 2)

[3]
Compound: SrAgPb
Source: Alexandria via LeMat-Bulk
Functional: PBE
Structure: relaxed

**Magnetic moment**: 0.00 Bohr magnetons per cell
**E_form**: -0.279 eV per atom
**Calculated total energy**: -36.3 eV/cell

a = 7.253 Å, b = 7.253 Å, c = 7.253 Å
α = 90.00°, β = 90.00°, γ = 90.00°
Space group F-43m (No. 216)
Symmetry-distinct sites (fractional):
Sr  0.000  0.000  0.000 (multiplicity 4)
Ag  0.250  0.250  0.750 (multiplicity 4)
Pb  0.000  0.000  0.500 (multiplicity 4)

[4]
Compound: SrAgPb3
Source: Alexandria via LeMat-Bulk
Functional: PBE
Structure: relaxed

**Magnetic moment**: 0.77 Bohr magnetons per cell
**Energy above the lowest structure with this stoichiometry**: 1.107 eV per atom
**E_form**: 0.919 eV per atom
**Calculated total energy**: -11.1 eV/cell

a = 6.144 Å, b = 6.144 Å, c = 6.144 Å
α = 90.00°, β = 90.00°, γ = 90.00°
Space group Pm-3m (No. 221)
Symmetry-distinct sites (fractional):
Sr  0.000  0.000  0.000 (multiplicity 1)
Ag  0.500  0.500  0.500 (multiplicity 1)
Pb  0.000  0.000  0.500 (multiplicity 3)

[5]
Compound: SrAg8Pb3
Source: Alexandria via LeMat-Bulk
Functional: PBE
Structure: relaxed

**Magnetic moment**: 0.00 Bohr magnetons per cell
**E_form**: -0.077 eV per atom
**Calculated total energy**: -109.6 eV/cell

a = 5.7693 Å, b = 5.7693 Å, c = 28.1567 Å
α = 90.00°, β = 90.00°, γ = 120.00°
Space group R3m (No. 160, hexagonal axes)
Symmetry-distinct sites (fractional):
Sr  0.0000  0.0000  0.0000 (multiplicity 3)
Ag  0.0000  0.0000  0.3123 (multiplicity 3)
Ag  0.0000  0.0000  0.8126 (multiplicity 3)
Ag  0.0013  0.5006  0.0639 (multiplicity 9)
Ag  0.1670  0.3340  0.8948 (multiplicity 9)
Pb  0.0000  0.0000  0.1272 (multiplicity 3)
Pb  0.0000  0.0000  0.4986 (multiplicity 3)
Pb  0.0000  0.0000  0.6228 (multiplicity 3)

[6]
Compound: SrTbAgPb
Source: Alexandria via LeMat-Bulk
Functional: PBE
Structure: relaxed

**Magnetic moment**: 0.00 Bohr magnetons per cell
**E_form**: -0.393 eV per atom
**Calculated total energy**: -57.8 eV/cell

a = 7.754 Å, b = 7.754 Å, c = 7.754 Å
α = 90.00°, β = 90.00°, γ = 90.00°
Space group F-43m (No. 216)
Symmetry-distinct sites (fractional):
Sr  0.000  0.000  0.000 (multiplicity 4)
Tb  0.000  0.000  0.500 (multiplicity 4)
Ag  0.250  0.250  0.750 (multiplicity 4)
Pb  0.250  0.250  0.250 (multiplicity 4)

[7]
Compound: SrAgTePb2
Source: Alexandria via LeMat-Bulk
Functional: PBE
Structure: relaxed

**Magnetic moment**: 0.46 Bohr magnetons per cell
**Formation energy from raw total energies**: 653.9 meV/atom
**Calculated total energy**: -11.8 eV/cell

a = 6.232 Å, b = 6.232 Å, c = 5.786 Å
α = 90.00°, β = 90.00°, γ = 90.00°
Space group P4/mmm (No. 123)
Symmetry-distinct sites (fractional):
Sr  0.000  0.000  0.000 (multiplicity 1)
Ag  0.500  0.500  0.500 (multiplicity 1)
Te  0.000  0.000  0.500 (multiplicity 1)
Pb  0.000  0.500  0.000 (multiplicity 2)

[8]
Compound: SrThAgPb
Source: Alexandria via LeMat-Bulk
Functional: PBE
Structure: relaxed

**Magnetic moment**: 2.33 Bohr magnetons per cell
**E_form**: -0.165 eV per atom
**Calculated total energy**: -65.3 eV/cell

a = 7.836 Å, b = 7.836 Å, c = 7.836 Å
α = 90.00°, β = 90.00°, γ = 90.00°
Space group F-43m (No. 216)
Symmetry-distinct sites (fractional):
Sr  0.000  0.000  0.000 (multiplicity 4)
Th  0.000  0.000  0.500 (multiplicity 4)
Ag  0.250  0.250  0.250 (multiplicity 4)
Pb  0.250  0.250  0.750 (multiplicity 4)

[9]
Compound: SrTlAgPb
Source: Alexandria via LeMat-Bulk
Functional: PBE
Structure: relaxed

**Magnetic moment**: 0.00 Bohr magnetons per cell
**E_form**: -0.221 eV per atom
**Calculated total energy**: -46.0 eV/cell

a = 7.708 Å, b = 7.708 Å, c = 7.708 Å
α = 90.00°, β = 90.00°, γ = 90.00°
Space group F-43m (No. 216)
Symmetry-distinct sites (fractional):
Sr  0.000  0.000  0.000 (multiplicity 4)
Tl  0.250  0.250  0.250 (multiplicity 4)
Ag  0.250  0.250  0.750 (multiplicity 4)
Pb  0.000  0.000  0.500 (multiplicity 4)

[10]
Compound: SrTm2Ag2Pb2
Source: Alexandria via LeMat-Bulk
Functional: PBE
Structure: relaxed

**Magnetic moment**: 0.00 Bohr magnetons per cell
**E_form**: -0.356 eV per atom
**Calculated total energy**: -78.7 eV/cell

a = 4.9562 Å, b = 4.9562 Å, c = 27.7133 Å
α = 90.00°, β = 90.00°, γ = 120.00°
Space group R-3m (No. 166, hexagonal axes)
Symmetry-distinct sites (fractional):
Sr  0.0000  0.0000  0.0000 (multiplicity 3)
Tm  0.0000  0.0000  0.1368 (multiplicity 6)
Ag  0.0000  0.0000  0.4473 (multiplicity 6)
Pb  0.0000  0.0000  0.2578 (multiplicity 6)

[11]
Compound: SrYAgPb
Source: Alexandria via LeMat-Bulk
Functional: PBE
Structure: relaxed

**Magnetic moment**: 0.00 Bohr magnetons per cell
**E_form**: -0.401 eV per atom
**Calculated total energy**: -65.2 eV/cell

a = 7.745 Å, b = 7.745 Å, c = 7.745 Å
α = 90.00°, β = 90.00°, γ = 90.00°
Space group F-43m (No. 216)
Symmetry-distinct sites (fractional):
Sr  0.000  0.000  0.000 (multiplicity 4)
Y  0.000  0.000  0.500 (multiplicity 4)
Ag  0.250  0.250  0.750 (multiplicity 4)
Pb  0.250  0.250  0.250 (multiplicity 4)

[12]
Compound: Sr2Zn4Ag3Pb
Source: Alexandria via LeMat-Bulk
Functional: PBE
Structure: relaxed

**Magnetic moment**: 0.00 Bohr magnetons per cell
**E_form**: -0.213 eV per atom
**Calculated total energy**: -22.8 eV/cell

a = 4.499 Å, b = 4.499 Å, c = 11.546 Å
α = 90.00°, β = 90.00°, γ = 90.00°
Space group P-4m2 (No. 115)
Symmetry-distinct sites (fractional):
Sr  0.000  0.500  0.239 (multiplicity 2)
Zn  0.000  0.000  0.000 (multiplicity 1)
Zn  0.000  0.500  0.650 (multiplicity 2)
Zn  0.500  0.500  0.000 (multiplicity 1)
Ag  0.000  0.500  0.875 (multiplicity 2)
Ag  0.500  0.500  0.500 (multiplicity 1)
Pb  0.000  0.000  0.500 (multiplicity 1)

[13]
Compound: SrZnAgPb
Source: Alexandria via LeMat-Bulk
Functional: PBE
Structure: relaxed

**Magnetic moment**: 0.00 Bohr magnetons per cell
**E_form**: -0.200 eV per atom
**Calculated total energy**: -41.3 eV/cell

a = 7.396 Å, b = 7.396 Å, c = 7.396 Å
α = 90.00°, β = 90.00°, γ = 90.00°
Space group F-43m (No. 216)
Symmetry-distinct sites (fractional):
Sr  0.000  0.000  0.000 (multiplicity 4)
Zn  0.250  0.250  0.250 (multiplicity 4)
Ag  0.250  0.250  0.750 (multiplicity 4)
Pb  0.000  0.000  0.500 (multiplicity 4)

[14]
Compound: SrZnAg2Pb
Source: Alexandria via LeMat-Bulk
Functional: PBE
Structure: relaxed

**Magnetic moment**: 0.00 Bohr magnetons per cell
**E_form**: -0.208 eV per atom
**Calculated total energy**: -26.8 eV/cell

a = 4.545 Å, b = 4.623 Å, c = 11.947 Å
α = 90.00°, β = 90.00°, γ = 90.00°
Space group Imm2 (No. 44)
Symmetry-distinct sites (fractional):
Sr  0.000  0.000  0.000 (multiplicity 2)
Zn  0.000  0.000  0.390 (multiplicity 2)
Ag  0.000  0.000  0.604 (multiplicity 2)
Ag  0.000  0.500  0.266 (multiplicity 2)
Pb  0.000  0.500  0.750 (multiplicity 2)

[15]
Compound: TaAg2Pb
Source: Alexandria via LeMat-Bulk
Functional: PBE
Structure: relaxed

**Magnetic moment**: 0.00 Bohr magnetons per cell
**E_form**: 0.358 eV per atom
**Calculated total energy**: -59.5 eV/cell

a = 3.0634 Å, b = 3.0634 Å, c = 30.7236 Å
α = 90.00°, β = 90.00°, γ = 120.00°
Space group R3m (No. 160, hexagonal axes)
Symmetry-distinct sites (fractional):
Ta  0.0000  0.0000  0.0000 (multiplicity 3)
Ag  0.0000  0.0000  0.4858 (multiplicity 3)
Ag  0.0000  0.0000  0.7430 (multiplicity 3)
Pb  0.0000  0.0000  0.2461 (multiplicity 3)

[16]
Compound: TaAg3Pb
Source: Alexandria via LeMat-Bulk
Functional: PBE
Structure: relaxed

**Magnetic moment**: 0.00 Bohr magnetons per cell
**Energy above the lowest structure with this stoichiometry**: 0.000 eV per atom
**E_form**: 1.252 eV per atom
**Calculated total energy**: -17.9 eV/cell

a = 5.182 Å, b = 5.182 Å, c = 5.182 Å
α = 90.00°, β = 90.00°, γ = 90.00°
Space group Pm-3m (No. 221)
Symmetry-distinct sites (fractional):
Ta  0.000  0.000  0.000 (multiplicity 1)
Ag  0.000  0.000  0.500 (multiplicity 3)
Pb  0.500  0.500  0.500 (multiplicity 1)

[17]
Compound: TaAg2Pb
Source: Alexandria via LeMat-Bulk
Functional: PBE
Structure: relaxed

**Magnetic moment**: 1.65 Bohr magnetons per cell
**E_form**: 0.619 eV per atom
**Calculated total energy**: -37.6 eV/cell

a = 4.850 Å, b = 4.850 Å, c = 6.851 Å
α = 90.00°, β = 90.00°, γ = 90.00°
Space group I-4m2 (No. 119)
Symmetry-distinct sites (fractional):
Ta  0.000  0.000  0.000 (multiplicity 2)
Ag  0.000  0.000  0.500 (multiplicity 2)
Ag  0.000  0.500  0.250 (multiplicity 2)
Pb  0.000  0.500  0.750 (multiplicity 2)

[18]
Compound: TaAgPb
Source: Alexandria via LeMat-Bulk
Functional: PBE
Structure: relaxed

**Magnetic moment**: 0.00 Bohr magnetons per cell
**E_form**: 0.895 eV per atom
**Calculated total energy**: -62.9 eV/cell

a = 6.645 Å, b = 6.645 Å, c = 6.645 Å
α = 90.00°, β = 90.00°, γ = 90.00°
Space group F-43m (No. 216)
Symmetry-distinct sites (fractional):
Ta  0.000  0.000  0.000 (multiplicity 4)
Ag  0.250  0.250  0.750 (multiplicity 4)
Pb  0.250  0.250  0.250 (multiplicity 4)

[19]
Compound: TaAg2Pb
Source: Alexandria via LeMat-Bulk
Functional: PBE
Structure: relaxed

**Magnetic moment**: 0.00 Bohr magnetons per cell
**E_form**: 0.428 eV per atom
**Calculated total energy**: -19.6 eV/cell

a = 3.059 Å, b = 4.398 Å, c = 6.012 Å
α = 90.00°, β = 92.65°, γ = 90.00°
Space group P2/m (No. 10)
Symmetry-distinct sites (fractional):
Ta  0.000  0.000  0.000 (multiplicity 1)
Ag  0.500  0.500  0.228 (multiplicity 2)
Pb  0.000  0.000  0.500 (multiplicity 1)

[20]
Compound: TaAg2Pb
Source: Alexandria via LeMat-Bulk
Functional: PBE
Structure: relaxed

**Magnetic moment**: 0.00 Bohr magnetons per cell
**E_form**: 0.560 eV per atom
**Calculated total energy**: -38.1 eV/cell

a = 4.151 Å, b = 4.151 Å, c = 9.308 Å
α = 90.00°, β = 90.00°, γ = 90.00°
Space group I4/mmm (No. 139)
Symmetry-distinct sites (fractional):
Ta  0.000  0.000  0.000 (multiplicity 2)
Ag  0.000  0.500  0.250 (multiplicity 4)
Pb  0.000  0.000  0.500 (multiplicity 2)